TlCd2Br, relaxed, DFT PBE; symmetry = No. 12; energy relative to the elements, uncorrected = -223.9 meV per atom; relative energy among the computed polymorphs = 75.0 meV per atom
1.0
6.801 -0.096 -0.057
5.589 3.876 -0.057
1.800 0.549 4.519
Br Cd Tl
1 2 1
direct
0.250 0.250 0.250
0.999 0.999 0.001
0.501 0.501 0.499
0.750 0.750 0.750